(1)
Entry from Alexandria: an optimized crystal structure of Rb2TcI7 (PBE).

Summary:
Total energy in eV per atom: -2.862

```
data_Rb2TcI7
_chemical_formula_sum 'Rb4 Tc2 I14'
_cell_length_a 9.1224
_cell_length_b 9.1224
_cell_length_c 11.8006
_cell_angle_alpha 90.00
_cell_angle_beta 90.00
_cell_angle_gamma 90.00
_symmetry_space_group_name_H-M 'I 4/m m m'
_symmetry_Int_Tables_number 139
_symmetry_space_group_name_Hall '-I 4 2'
loop_
_atom_site_label
_atom_site_type_symbol
_atom_site_fract_x
_atom_site_fract_y
_atom_site_fract_z
Rb1 Rb 0.0000 0.5000 0.2500
Tc1 Tc 0.0000 0.0000 0.0000
I1 I 0.0000 0.0000 0.2395
I2 I 0.0000 0.0000 0.5000
I3 I 0.2125 0.2125 0.0000
```



(2)
Entry from Alexandria: an optimized crystal structure of RbTc3I (PBE).

Summary:
Total energy in eV per atom: -3.470
Energy above the lowest structure with this stoichiometry in meV/atom: 1259

```
data_RbTc3I
_chemical_formula_sum 'Rb1 Tc3 I1'
_cell_length_a 5.2311
_cell_length_b 5.2311
_cell_length_c 5.2311
_cell_angle_alpha 90.00
_cell_angle_beta 90.00
_cell_angle_gamma 90.00
_symmetry_space_group_name_H-M 'P m -3 m'
_symmetry_Int_Tables_number 221
_symmetry_space_group_name_Hall '-P 4 2 3'
loop_
_atom_site_label
_atom_site_type_symbol
_atom_site_fract_x
_atom_site_fract_y
_atom_site_fract_z
Rb1 Rb 0.0000 0.0000 0.0000
Tc1 Tc 0.0000 0.0000 0.5000
I1 I 0.5000 0.5000 0.5000
```



(3)
Entry from Alexandria: an optimized crystal structure of Rb3TcI8 (PBE).

Summary:
Total energy in eV per atom: -2.867

```
data_Rb3TcI8
_chemical_formula_sum 'Rb6 Tc2 I16'
_cell_length_a 11.2492
_cell_length_b 11.2492
_cell_length_c 9.8376
_cell_angle_alpha 90.00
_cell_angle_beta 90.00
_cell_angle_gamma 120.00
_symmetry_space_group_name_H-M 'P 63 m c'
_symmetry_Int_Tables_number 186
_symmetry_space_group_name_Hall 'P 6c -2c'
loop_
_atom_site_label
_atom_site_type_symbol
_atom_site_fract_x
_atom_site_fract_y
_atom_site_fract_z
Rb1 Rb 0.1502 0.3003 0.0000
Tc1 Tc 0.3333 0.6667 0.4275
I1 I 0.0000 0.0000 0.2545
I2 I 0.1053 0.5526 0.2695
I3 I 0.2179 0.4357 0.5918
I4 I 0.3333 0.6667 0.9349
```



(4)
Entry from Alexandria: an optimized crystal structure of RbTcI6 (PBE).

Summary:
Total energy in eV per atom: -2.945

```
data_RbTcI6
_chemical_formula_sum 'Rb2 Tc2 I12'
_cell_length_a 11.9894
_cell_length_b 7.5685
_cell_length_c 9.6284
_cell_angle_alpha 90.00
_cell_angle_beta 125.31
_cell_angle_gamma 90.00
_symmetry_space_group_name_H-M 'C 1 2/m 1'
_symmetry_Int_Tables_number 12
loop_
_symmetry_equiv_pos_as_xyz
'x,y,z'
'-x,-y,-z'
'-x,y,-z'
'x,-y,z'
'x+1/2,y+1/2,z'
'-x+1/2,-y+1/2,-z'
'-x+1/2,y+1/2,-z'
'x+1/2,-y+1/2,z'
loop_
_atom_site_label
_atom_site_type_symbol
_atom_site_fract_x
_atom_site_fract_y
_atom_site_fract_z
Rb1 Rb 0.0000 0.0000 0.0000
Tc1 Tc 0.0000 0.0000 0.5000
I1 I 0.1144 0.2515 0.7508
I2 I 0.2287 0.0000 0.5039
```



(5)
Entry from Alexandria: an optimized crystal structure of RbTc3I (PBE).

Summary:
Total energy in eV per atom: -4.729
Energy above the lowest structure with this stoichiometry in meV/atom: 0

```
data_RbTc3I
_chemical_formula_sum 'Rb1 Tc3 I1'
_cell_length_a 5.0286
_cell_length_b 5.0286
_cell_length_c 5.0286
_cell_angle_alpha 90.00
_cell_angle_beta 90.00
_cell_angle_gamma 90.00
_symmetry_space_group_name_H-M 'P m -3 m'
_symmetry_Int_Tables_number 221
_symmetry_space_group_name_Hall '-P 4 2 3'
loop_
_atom_site_label
_atom_site_type_symbol
_atom_site_fract_x
_atom_site_fract_y
_atom_site_fract_z
Rb1 Rb 0.0000 0.0000 0.0000
Tc1 Tc 0.0000 0.5000 0.5000
I1 I 0.5000 0.5000 0.5000
```



(6)
Entry from Alexandria: an optimized crystal structure of RbTc2I2 (PBE).

Summary:
Total energy in eV per atom: -4.554
Energy above the lowest structure with this stoichiometry in meV/atom: 0

```
data_RbTc2I2
_chemical_formula_sum 'Rb2 Tc4 I4'
_cell_length_a 4.4241
_cell_length_b 4.4241
_cell_length_c 13.9653
_cell_angle_alpha 90.00
_cell_angle_beta 90.00
_cell_angle_gamma 90.00
_symmetry_space_group_name_H-M 'I 4/m m m'
_symmetry_Int_Tables_number 139
_symmetry_space_group_name_Hall '-I 4 2'
loop_
_atom_site_label
_atom_site_type_symbol
_atom_site_fract_x
_atom_site_fract_y
_atom_site_fract_z
Rb1 Rb 0.0000 0.0000 0.0000
Tc1 Tc 0.0000 0.5000 0.2500
I1 I 0.0000 0.0000 0.3507
```